Here is In2SiWF after structural relaxation from Alexandria. Energies are from GGA+U.

It has space group P4/mmm (No. 123), with a = 5.5487 Å, b = 5.5487 Å, c = 4.7468 Å, α = 90.00°, β = 90.00° and γ = 90.00°. The distinct sites, in fractional coordinates, are In at (0.0000, 0.5000, 0.0000), Si at (0.0000, 0.0000, 0.5000), W at (0.0000, 0.0000, 0.0000) and F at (0.5000, 0.5000, 0.5000).

The value obtained for the total energy is -3.650 eV per atom.